First-principles (PBE-GGA) data for VSICl2 after structural relaxation, as listed in Alexandria via LeMat-Bulk.

Its energy relative to the lowest polymorph listed for this composition is 0.000 eV/atom. For the uncorrected formation energy, the calculation gives -0.2626 eV/atom. The value obtained for the calculated volume is 107.3 Å³/cell.

a = 4.7156 Å, b = 4.7156 Å, c = 4.8262 Å
α = 90.00°, β = 90.00°, γ = 90.00°
Space group P4/mmm (No. 123)
One atom of each set of equivalent atoms:
V 0.0000 0.0000 0.0000 x1
S 0.0000 0.0000 0.5000 x1
I 0.5000 0.5000 0.5000 x1
Cl 0.0000 0.5000 0.0000 x2